No. 1
Density functional theory data (GGA-PBE) for crystalline Ac6Pr5Mg at its relaxed geometry.

```
Ac6Pr5Mg
1.0
-5.1984 -0.4422 1.6815
5.2002 -6.8853 5.3339
3.0318 9.2445 2.8717
Pr Ac Mg
5 6 1
direct
0.5000 0.1726 0.8274
0.0000 0.3362 0.6638
0.5000 0.5000 0.5000
0.0000 0.6638 0.3362
0.5000 0.8274 0.1726
0.2452 0.0800 0.4099
0.7548 0.5901 0.9200
0.7432 0.2432 0.2432
0.2568 0.7568 0.7568
0.2452 0.4099 0.0800
0.7548 0.9200 0.5901
0.0000 0.0000 0.0000
```

Values from the calculation:
The formation energy comes out at 21.5 meV per atom. The size of the total moment is 0.0000 μB/atom. As for the space-group type: No. 71. The value obtained for the total energy is -49.89 eV/cell.

=====

No. 2
Density functional theory data (GGA-PBE) for crystalline Ac4PrMg at its relaxed geometry.

```
Ac4PrMg
1.0
7.1900 0.0000 0.0000
3.5950 6.2267 0.0000
3.5950 2.0756 5.8706
Pr Ac Mg
1 4 1
direct
0.0000 0.0000 0.0000
0.6248 0.6248 0.1256
0.6248 0.1256 0.6248
0.6248 0.6248 0.6248
0.1256 0.6248 0.6248
0.2500 0.2500 0.2500
```

Values from the calculation:
As for the energy above the most stable polymorph in this dataset: 378 meV/atom. The formation energy comes out at 364.9 meV per atom. The size of the total moment is 0.0000 μB/atom. As for the space-group type: No. 216. The value obtained for the total energy is -20.62 eV/cell.

=====

No. 3
Density functional theory data (GGA-PBE) for crystalline Ac6Pr2Mg at its relaxed geometry.

```
Ac6Pr2Mg
1.0
-1.3855 2.1881 -6.2791
7.3237 -9.9521 -1.4171
-2.3376 -12.2155 -0.0740
Ac Pr Mg
12 4 2
direct
0.7176 0.5035 0.6527
0.7824 0.3473 0.4965
0.2824 0.4965 0.3473
0.2176 0.6527 0.5035
0.9177 0.9184 0.4173
0.5823 0.5827 0.0816
0.0823 0.0816 0.5827
0.4177 0.4173 0.9184
0.0648 0.8456 0.9974
0.4352 0.0026 0.1544
0.9352 0.1544 0.0026
0.5648 0.9974 0.8456
0.5575 0.8288 0.6702
0.9425 0.3298 0.1712
0.4425 0.1712 0.3298
0.0575 0.6702 0.8288
0.2500 0.2488 0.7512
0.7500 0.7512 0.2488
```

Values from the calculation:
As for the energy above the most stable polymorph in this dataset: 12 meV/atom. The formation energy comes out at 93.7 meV per atom. The size of the total moment is 0.0000 μB/atom. As for the space-group type: No. 15. The value obtained for the total energy is -69.92 eV/cell.